(1)
The following is a DFT calculation (PBE) of a relaxed structure of ZnBi.

**E**: -2.51 eV/atom

Cell: 6.652 5.184 17.235 Å, 90.00 90.03 90.00°
Element x y z (fractional)
Zn  0.126  0.250  0.210
Zn  0.126  0.750  0.291
Zn  0.140  0.250  0.824
Zn  0.140  0.750  0.676
Zn  0.236  0.250  0.358
Zn  0.236  0.750  0.143
Zn  0.764  0.250  0.857
Zn  0.764  0.750  0.642
Zn  0.860  0.250  0.324
Zn  0.860  0.750  0.176
Zn  0.874  0.250  0.709
Zn  0.874  0.750  0.790
Bi  0.039  0.750  0.942
Bi  0.040  0.250  0.558
Bi  0.423  0.250  0.953
Bi  0.423  0.750  0.547
Bi  0.431  0.250  0.690
Bi  0.431  0.750  0.810
Bi  0.569  0.250  0.190
Bi  0.569  0.750  0.310
Bi  0.577  0.250  0.453
Bi  0.577  0.750  0.047
Bi  0.960  0.750  0.442
Bi  0.961  0.250  0.058


(2)
The following is a DFT calculation (PBE) of a relaxed structure of Zn2Bi.

**E**: -2.03 eV/atom

Cell: 5.581 5.581 5.581 Å, 60.00 60.00 60.00°
Element x y z (fractional)
Zn  0.000  0.000  0.000
Zn  0.000  0.000  0.500
Zn  0.000  0.500  0.000
Zn  0.500  0.000  0.000
Bi  0.375  0.375  0.375
Bi  0.625  0.625  0.625


(3)
The following is a DFT calculation (PBE) of a relaxed structure of ZnBi.

**E**: -2.52 eV/atom

Cell: 5.752 5.752 4.213 Å, 90.00 90.00 136.91°
Element x y z (fractional)
Zn  0.076  0.924  0.750
Zn  0.924  0.076  0.250
Bi  0.353  0.647  0.750
Bi  0.647  0.353  0.250


(4)
The following is a DFT calculation (PBE) of a relaxed structure of ZnBi.

**E**: -2.54 eV/atom

Cell: 7.141 5.272 5.217 Å, 90.00 90.00 90.00°
Element x y z (fractional)
Zn  0.097  0.007  0.250
Zn  0.097  0.493  0.750
Zn  0.903  0.507  0.250
Zn  0.903  0.993  0.750
Bi  0.300  0.505  0.250
Bi  0.300  0.995  0.750
Bi  0.700  0.005  0.250
Bi  0.700  0.495  0.750


(5)
The following is a DFT calculation (PBE) of a relaxed structure of ZnBi.

**E**: -2.50 eV/atom

Cell: 5.636 5.119 9.003 Å, 90.00 108.21 90.00°
Element x y z (fractional)
Zn  0.000  0.000  0.000
Zn  0.003  0.500  0.152
Zn  0.153  0.000  0.304
Zn  0.527  0.500  0.954
Zn  0.726  0.500  0.349
Bi  0.302  0.500  0.470
Bi  0.454  0.000  0.758
Bi  0.579  0.000  0.152
Bi  0.848  0.000  0.545
Bi  0.984  0.500  0.833


(6)
The following is a DFT calculation (PBE) of a relaxed structure of ZnBi.

**E**: -2.48 eV/atom

Cell: 3.447 5.266 5.536 Å, 90.00 90.00 90.00°
Element x y z (fractional)
Zn  0.250  0.250  0.104
Zn  0.750  0.750  0.896
Bi  0.250  0.750  0.338
Bi  0.750  0.250  0.662


(7)
The following is a DFT calculation (PBE) of a relaxed structure of ZnBi.

**E**: -2.42 eV/atom

Cell: 4.450 4.450 4.450 Å, 60.00 60.00 60.00°
Element x y z (fractional)
Zn  0.000  0.000  0.000
Bi  0.250  0.250  0.250


(8)
The following is a DFT calculation (PBE) of a relaxed structure of Zn2Bi.

**E**: -2.05 eV/atom

Cell: 8.166 4.866 13.405 Å, 90.00 103.83 90.00°
Element x y z (fractional)
Zn  0.000  0.000  0.000
Zn  0.007  0.000  0.510
Zn  0.148  0.500  0.627
Zn  0.210  0.500  0.937
Zn  0.314  0.000  0.605
Zn  0.327  0.000  0.022
Zn  0.391  0.000  0.406
Zn  0.415  0.500  0.795
Zn  0.447  0.000  0.221
Zn  0.470  0.500  0.611
Zn  0.535  0.500  0.995
Zn  0.548  0.500  0.412
Zn  0.651  0.000  0.080
Zn  0.714  0.000  0.390
Zn  0.855  0.500  0.507
Zn  0.861  0.500  0.017
Bi  0.166  0.000  0.788
Bi  0.193  0.500  0.407
Bi  0.210  0.500  0.155
Bi  0.651  0.000  0.862
Bi  0.668  0.000  0.609
Bi  0.695  0.500  0.229
Bi  0.891  0.500  0.788
Bi  0.970  0.000  0.229


Question: Which formula does entry 7 have?
Answer: ZnBi


Question: Look up the E of the fifth one.
Answer: -2.50 eV/atom


Question: Number 6 is which compound?
Answer: ZnBi